# 1
Hg3Se | PBEsol | optimized geometry

- Energy: -1.3669 eV/atom

Unit cell a=6.087 b=11.945 c=5.751 alpha=90.00 beta=90.00 gamma=90.00
Space group Pnma (No. 62)
Inequivalent atoms, fractional coordinates:
Hg (0.010, 0.250, 0.246)
Hg (0.249, 0.515, 0.601)
Se (0.245, 0.750, 0.100)

# 2
HgSe2 | PBEsol | optimized geometry

- Energy above the lowest structure with this stoichiometry: 0 meV per atom

Unit cell a=6.037 b=6.037 c=7.553 alpha=90.00 beta=90.00 gamma=90.00
Space group I4/mcm (No. 140)
Inequivalent atoms, fractional coordinates:
Hg (0.000, 0.000, 0.250)
Se (0.137, 0.363, 0.000)

# 3
Hg5Se | PBEsol | optimized geometry

- Energy: -1.1331 eV/atom

Unit cell a=12.035 b=4.135 c=6.951 alpha=90.00 beta=121.30 gamma=90.00
Space group Cm (No. 8)
Inequivalent atoms, fractional coordinates:
Hg (0.000, 0.000, 0.000)
Hg (0.005, 0.500, 0.530)
Hg (0.167, 0.000, 0.513)
Hg (0.330, 0.500, 0.498)
Hg (0.336, 0.000, 0.027)
Se (0.168, 0.500, 0.014)

# 4
Hg3Se2 | PBEsol | optimized geometry

- Energy: -1.9279 eV/atom

Unit cell a=12.284 b=12.783 c=7.110 alpha=90.00 beta=90.00 gamma=90.00
Space group Fdd2 (No. 43)
Inequivalent atoms, fractional coordinates:
Hg (0.000, 0.000, 0.000)
Hg (0.061, 0.147, 0.478)
Se (0.086, 0.238, 0.846)

# 5
HgSe3 | PBEsol | optimized geometry

- Energy: -2.9003 eV/atom

Unit cell a=7.867 b=13.636 c=3.636 alpha=90.00 beta=90.00 gamma=90.00
Space group Cmcm (No. 63)
Inequivalent atoms, fractional coordinates:
Hg (0.000, 0.078, 0.250)
Se (0.000, 0.427, 0.250)
Se (0.205, 0.312, 0.750)

# 6
Hg3Se | PBEsol | optimized geometry

- Energy: -1.4297 eV/atom

Unit cell a=4.0860 b=4.0860 c=20.0394 alpha=90.00 beta=90.00 gamma=120.00
Space group R-3m (No. 166, hexagonal axes)
Inequivalent atoms, fractional coordinates:
Hg (0.0000, 0.0000, 0.0000)
Hg (0.0000, 0.0000, 0.2460)
Se (0.0000, 0.0000, 0.5000)